Density functional theory data (GGA-PBEsol) for an optimized crystal structure of Ga3IrSe.

Summary:
The calculation puts the density of states at the Fermi level at 2.2 states/eV/cell. The calculation puts the uncorrected formation energy at -0.71 eV/f.u. Its volume is 107.4 Å³ per cell.

Cell: 4.754 4.754 4.754 Å, 90.00 90.00 90.00°
Positions (direct):
Ga 0.500 0.000 0.000
Ga 0.000 0.500 0.000
Ga 0.000 0.000 0.500
Se 0.500 0.500 0.500
Ir 0.000 0.000 0.000